Density functional theory data (meta-GGA SCAN) for a crystal of BaLi2Ca relaxed with PBEsol.

Values from the calculation:
For the total energy, the calculation gives -13.46 eV/atom. The value obtained for the magnetic moment is 0.127 μB/cell. Its mass density is 2.29 Mg/m³. For the energy relative to the lowest polymorph listed for this composition, the calculation gives 13.5 meV per atom. The value obtained for the formation energy is 0.037 eV/atom.

Cell lengths 3.950, 3.950, 8.901 Å; angles 90.00, 90.00, 90.00 degrees
Sites, in units of the cell vectors:
Ba: 0.000 0.000 0.000
Li: 0.000 0.000 0.584
Li: 0.500 0.500 0.723
Ca: 0.500 0.500 0.348

Density functional theory data (meta-GGA SCAN) for a crystal of Ca2AlZn relaxed with PBEsol.

Values from the calculation:
For the total energy, the calculation gives -10.37 eV/atom. The value obtained for the magnetic moment is 0.000 μB/cell. Its mass density is 2.97 Mg/m³. The value obtained for the formation energy is -0.224 eV/atom.

Cell lengths 3.533, 3.533, 7.728 Å; angles 90.00, 90.00, 90.00 degrees
Sites, in units of the cell vectors:
Ca: 0.000 0.000 0.240
Ca: 0.000 0.000 0.760
Al: 0.500 0.500 0.500
Zn: 0.500 0.500 0.000

Density functional theory data (meta-GGA SCAN) for a crystal of P3RuPb relaxed with PBEsol.

Values from the calculation:
For the total energy, the calculation gives -27.80 eV/atom. The value obtained for the magnetic moment is 0.000 μB/cell. Its mass density is 6.82 Mg/m³. The value obtained for the formation energy is 0.559 eV/atom.

Cell lengths 4.606, 4.606, 4.606 Å; angles 90.00, 90.00, 90.00 degrees
Sites, in units of the cell vectors:
P: 0.000 0.000 0.500
P: 0.000 0.500 0.000
P: 0.500 0.000 0.000
Ru: 0.000 0.000 0.000
Pb: 0.500 0.500 0.500

Density functional theory data (meta-GGA SCAN) for a crystal of DySi2Ni relaxed with PBEsol.

Values from the calculation:
For the total energy, the calculation gives -21.88 eV/atom. The value obtained for the magnetic moment is 0.000 μB/cell. Its mass density is 7.31 Mg/m³. The calculation puts the raw formation energy at -0.879 eV per atom.

Cell lengths 8.335, 8.335, 3.937 Å; angles 90.00, 90.00, 152.58 degrees
Sites, in units of the cell vectors:
Dy: 0.106 0.894 0.750
Dy: 0.894 0.106 0.250
Si: 0.250 0.750 0.250
Si: 0.460 0.540 0.750
Si: 0.540 0.460 0.250
Si: 0.750 0.250 0.750
Ni: 0.322 0.678 0.750
Ni: 0.678 0.322 0.250

Density functional theory data (meta-GGA SCAN) for a crystal of Ta2HgH relaxed with PBEsol.

Values from the calculation:
For the total energy, the calculation gives -50.61 eV/atom. The value obtained for the magnetic moment is 0.000 μB/cell. Its mass density is 14.41 Mg/m³.

Cell lengths 5.685, 5.685, 5.685 Å; angles 60.00, 60.00, 60.00 degrees
Sites, in units of the cell vectors:
Ta: 0.000 0.000 0.000
Ta: 0.000 0.000 0.500
Ta: 0.000 0.500 0.000
Ta: 0.500 0.000 0.000
Hg: 0.375 0.375 0.375
Hg: 0.625 0.625 0.625
H: 0.125 0.125 0.125
H: 0.875 0.875 0.875

Density functional theory data (meta-GGA SCAN) for a crystal of CaCrS2 relaxed with PBEsol.

Values from the calculation:
For the total energy, the calculation gives -12.89 eV/atom. The value obtained for the magnetic moment is 4.000 μB/cell. Its mass density is 3.70 Mg/m³. For the energy relative to the lowest polymorph listed for this composition, the calculation gives 0.0 meV per atom. The calculation puts the raw formation energy at -1.062 eV per atom.

Cell lengths 4.628, 4.628, 4.628 Å; angles 60.00, 60.00, 60.00 degrees
Sites, in units of the cell vectors:
Ca: 0.000 0.000 0.000
Cr: 0.500 0.500 0.500
S: 0.250 0.250 0.250
S: 0.750 0.750 0.750

Density functional theory data (meta-GGA SCAN) for a crystal of LaGeSe2 relaxed with PBEsol.

Values from the calculation:
For the total energy, the calculation gives -26.06 eV/atom. The value obtained for the magnetic moment is 0.000 μB/cell. Its mass density is 5.60 Mg/m³. The calculation puts the raw formation energy at -0.469 eV per atom.

Cell lengths 9.001, 9.001, 9.001 Å; angles 24.41, 24.41, 24.41 degrees
Sites, in units of the cell vectors:
La: 0.000 0.000 0.000
Ge: 0.500 0.500 0.500
Se: 0.109 0.109 0.109
Se: 0.891 0.891 0.891

Density functional theory data (meta-GGA SCAN) for a crystal of Mn2IrRh relaxed with PBEsol.

Values from the calculation:
For the total energy, the calculation gives -35.54 eV/atom. The value obtained for the magnetic moment is 0.356 μB/cell. Its mass density is 13.17 Mg/m³. The value obtained for the formation energy is -0.199 eV/atom.

Cell lengths 2.966, 2.966, 5.805 Å; angles 90.00, 90.00, 90.00 degrees
Sites, in units of the cell vectors:
Mn: 0.000 0.000 0.000
Mn: 0.500 0.500 0.183
Ir: 0.500 0.500 0.743
Rh: 0.000 0.000 0.441